Entry 1:
! TcOs2Cl | Alexandria | PBE-GGA | relaxed; values from VASP
&SYSTEM
  ibrav = 0, nat = 8, ntyp = 3
/
ATOMIC_SPECIES
Tc 98.00 Tc.upf
Os 190.23 Os.upf
Cl 35.45 Cl.upf
ATOMIC_POSITIONS crystal
Tc 0.000 0.000 0.000
Tc 0.500 0.500 0.000
Os 0.212 0.500 0.830
Os 0.427 0.000 0.682
Os 0.712 0.000 0.830
Os 0.927 0.500 0.682
Cl 0.465 0.000 0.316
Cl 0.965 0.500 0.316
CELL_PARAMETERS angstrom
8.819 0.000 0.000
0.000 2.806 0.000
-0.037 0.000 6.459
! Magnetic moment, μB per formula unit: 0.00
! D(E_F), states/eV/f.u.: 3.2
! Symmetry: Cm (8)
! Polymorph energy (0 for the lowest one), eV/f.u.: 0.71
! Crystal system: monoclinic
! E_form (uncorrected), kJ/mol of formula units: 239.7

***

Entry 2:
! NaMgH3 | Alexandria | PBE-GGA | relaxed; values from VASP
&SYSTEM
  ibrav = 0, nat = 20, ntyp = 3
/
ATOMIC_SPECIES
Na 22.99 Na.upf
Mg 24.30 Mg.upf
H 1.01 H.upf
ATOMIC_POSITIONS crystal
Na 0.032 0.250 0.006
Na 0.468 0.750 0.506
Na 0.532 0.250 0.494
Na 0.968 0.750 0.994
Mg 0.000 0.000 0.500
Mg 0.000 0.500 0.500
Mg 0.500 0.000 0.000
Mg 0.500 0.500 0.000
H 0.026 0.750 0.417
H 0.207 0.543 0.794
H 0.207 0.957 0.794
H 0.293 0.043 0.294
H 0.293 0.457 0.294
H 0.474 0.250 0.917
H 0.526 0.750 0.083
H 0.707 0.543 0.706
H 0.707 0.957 0.706
H 0.793 0.043 0.206
H 0.793 0.457 0.206
H 0.974 0.250 0.583
CELL_PARAMETERS angstrom
5.418 0.000 0.000
0.000 7.602 0.000
0.000 0.000 5.333
! Magnetic moment, μB per formula unit: 0.00
! D(E_F), states/eV/f.u.: 0.0
! Symmetry: Pnma (62)
! Crystal system: orthorhombic

***

Entry 3:
! Y2NiAu | Alexandria | PBE-GGA | relaxed; values from VASP
&SYSTEM
  ibrav = 0, nat = 16, ntyp = 3
/
ATOMIC_SPECIES
Y 88.91 Y.upf
Ni 58.69 Ni.upf
Au 196.97 Au.upf
ATOMIC_POSITIONS crystal
Y 0.000 0.000 0.000
Y 0.000 0.500 0.500
Y 0.250 0.250 0.250
Y 0.250 0.750 0.750
Y 0.500 0.000 0.500
Y 0.500 0.500 0.000
Y 0.750 0.250 0.750
Y 0.750 0.750 0.250
Ni 0.000 0.000 0.500
Ni 0.000 0.500 0.000
Ni 0.500 0.000 0.000
Ni 0.500 0.500 0.500
Au 0.250 0.250 0.750
Au 0.250 0.750 0.250
Au 0.750 0.250 0.250
Au 0.750 0.750 0.750
CELL_PARAMETERS angstrom
6.830 0.000 0.000
0.000 6.830 0.000
0.000 0.000 6.830
! Magnetic moment, μB per formula unit: 0.00
! D(E_F), states/eV/f.u.: 3.4
! Symmetry: F-43m (216)
! Energy of formation from the pure elements, eV per atom: -0.2735
! Crystal system: cubic

***

Entry 4:
! BaH2Pd2 | Alexandria | PBE-GGA | relaxed; values from VASP
&SYSTEM
  ibrav = 0, nat = 10, ntyp = 3
/
ATOMIC_SPECIES
Ba 137.33 Ba.upf
H 1.01 H.upf
Pd 106.42 Pd.upf
ATOMIC_POSITIONS crystal
Ba 0.000 0.000 0.000
Ba 0.500 0.500 0.500
H 0.000 0.500 0.250
H 0.000 0.500 0.750
H 0.500 0.000 0.250
H 0.500 0.000 0.750
Pd 0.000 0.000 0.282
Pd 0.000 0.000 0.718
Pd 0.500 0.500 0.218
Pd 0.500 0.500 0.782
CELL_PARAMETERS angstrom
3.888 0.000 0.000
0.000 3.888 0.000
0.000 0.000 10.818
! Magnetic moment, μB per formula unit: 0.00
! D(E_F), states/eV/f.u.: 2.2
! Symmetry: I4/mmm (139)
! Polymorph energy (0 for the lowest one), eV/f.u.: 0.41
! Crystal system: tetragonal

***

no.,final energy (eV/atom)
1,-8.05
2,-2.82
3,-5.77
4,-4.14